No. 1
Crystalline Ag4BrCl at its relaxed geometry, computed with GGA-PBE.

Calculated values
E = -2.334 eV per atom
uncorrected formation energy = 0.15 eV per atom
crystal system = cubic
magnetic moment = 0.00 μB per cell

Lattice parameters (Å, degrees): 8.031 8.031 8.031 90.00 90.00 90.00
Space group F-43m (No. 216)
One atom of each set of equivalent atoms:
Ag1 0.124 0.124 0.376 [16 per cell]
Br1 0.000 0.000 0.000 [4 per cell]
Cl1 0.250 0.250 0.750 [4 per cell]



No. 2
Crystalline LiCu2Pd6 at its relaxed geometry, computed with GGA-PBE.

Calculated values
E = -4.411 eV per atom
ΔH_f (0 K) = 1.56 eV/f.u.
crystal system = monoclinic
excess energy over the best structure of this formula in the dataset = 263.8 meV/atom
magnetic moment = 0.00 μB per cell

Lattice parameters (Å, degrees): 12.918 5.792 4.077 90.00 108.16 90.00
Space group C2/m (No. 12)
One atom of each set of equivalent atoms:
Li1 0.000 0.000 0.000 [2 per cell]
Cu1 0.165 0.500 0.665 [4 per cell]
Pd1 0.000 0.243 0.500 [4 per cell]
Pd2 0.165 0.246 0.165 [8 per cell]



No. 3
Crystalline SrTl2GaBr5 at its relaxed geometry, computed with GGA-PBE.

Calculated values
E = -3.166 eV per atom
uncorrected formation energy = -1.19 eV per atom
crystal system = orthorhombic
magnetic moment = 0.00 μB per cell

Lattice parameters (Å, degrees): 4.575 19.134 16.234 90.00 90.00 90.00
Space group Cmc2_1 (No. 36)
One atom of each set of equivalent atoms:
Sr1 0.000 0.242 0.000 [4 per cell]
Tl1 0.000 0.072 0.637 [4 per cell]
Tl2 0.000 0.138 0.239 [4 per cell]
Ga1 0.000 0.453 0.423 [4 per cell]
Br1 0.000 0.084 0.039 [4 per cell]
Br2 0.000 0.251 0.630 [4 per cell]
Br3 0.000 0.283 0.378 [4 per cell]
Br4 0.000 0.400 0.993 [4 per cell]
Br5 0.000 0.481 0.748 [4 per cell]



No. 4
Crystalline CeFe3Cl12 at its relaxed geometry, computed with GGA-PBE.

Calculated values
E = -4.457 eV per atom
uncorrected formation energy = -1.11 eV per atom
crystal system = trigonal
magnetic moment = 84.00 μB per cell

Lattice parameters (Å, degrees): 10.7967 10.7967 32.0233 90.00 90.00 120.00
Space group R3c (No. 161, hexagonal axes)
One atom of each set of equivalent atoms:
Ce1 0.0000 0.0000 0.0000 [6 per cell]
Fe1 0.0477 0.3446 0.0529 [18 per cell]
Cl1 0.0150 0.5047 0.6636 [18 per cell]
Cl2 0.1881 0.3982 0.3738 [18 per cell]
Cl3 0.2155 0.1045 0.0651 [18 per cell]
Cl4 0.2169 0.4407 0.1026 [18 per cell]



No. 5
Crystalline AcSnHg4 at its relaxed geometry, computed with GGA-PBE.

Calculated values
E = -1.743 eV per atom
ΔH_f (0 K) = -1.14 eV/f.u.
crystal system = cubic
excess energy over the best structure of this formula in the dataset = 106.9 meV/atom
magnetic moment = 0.00 μB per cell

Lattice parameters (Å, degrees): 8.746 8.746 8.746 90.00 90.00 90.00
Space group F-43m (No. 216)
One atom of each set of equivalent atoms:
Ac1 0.000 0.000 0.000 [4 per cell]
Sn1 0.250 0.250 0.250 [4 per cell]
Hg1 0.124 0.124 0.624 [16 per cell]



No. 6
Crystalline Rb3PrPa2O9 at its relaxed geometry, computed with GGA-PBE.

Calculated values
E = -7.448 eV per atom
uncorrected formation energy = -2.69 eV per atom
crystal system = trigonal
magnetic moment = 2.00 μB per cell

Lattice parameters (Å, degrees): 6.3448 6.3448 7.7592 90.00 90.00 120.00
Space group P-3m1 (No. 164)
One atom of each set of equivalent atoms:
Rb1 0.0000 0.0000 0.0000 [1 per cell]
Rb2 0.3333 0.6667 0.6641 [2 per cell]
Pr1 0.0000 0.0000 0.5000 [1 per cell]
Pa1 0.3333 0.6667 0.1643 [2 per cell]
O1 0.0000 0.5000 0.0000 [3 per cell]
O2 0.1762 0.3523 0.3202 [6 per cell]



No. 7
Crystalline PuCo4Ni at its relaxed geometry, computed with GGA-PBE.

Calculated values
E = -8.115 eV per atom
ΔH_f (0 K) = -0.15 eV/f.u.
crystal system = cubic
magnetic moment = 6.72 μB per cell

Lattice parameters (Å, degrees): 6.838 6.838 6.838 90.00 90.00 90.00
Space group F-43m (No. 216)
One atom of each set of equivalent atoms:
Pu1 0.000 0.000 0.000 [4 per cell]
Co1 0.124 0.124 0.624 [16 per cell]
Ni1 0.250 0.250 0.250 [4 per cell]



No. 8
Crystalline AlCuHPd2 at its relaxed geometry, computed with GGA-PBE.

Calculated values
E = -4.721 eV per atom
crystal system = tetragonal
magnetic moment = 0.00 μB per cell

Lattice parameters (Å, degrees): 4.018 4.018 3.673 90.00 90.00 90.00
Space group P4/mmm (No. 123)
One atom of each set of equivalent atoms:
Al1 0.000 0.000 0.000 [1 per cell]
Cu1 0.500 0.500 0.000 [1 per cell]
H1 0.500 0.500 0.500 [1 per cell]
Pd1 0.000 0.500 0.500 [2 per cell]



No. 9
Crystalline CdHg2TePb at its relaxed geometry, computed with GGA-PBE.

Calculated values
E = -1.244 eV per atom
uncorrected formation energy = 0.43 eV per atom
crystal system = tetragonal
magnetic moment = 0.00 μB per cell

Lattice parameters (Å, degrees): 5.612 5.612 5.768 90.00 90.00 90.00
Space group P4/mmm (No. 123)
One atom of each set of equivalent atoms:
Cd1 0.000 0.000 0.000 [1 per cell]
Hg1 0.000 0.500 0.500 [2 per cell]
Te1 0.000 0.000 0.500 [1 per cell]
Pb1 0.500 0.500 0.000 [1 per cell]



No. 10
Crystalline KSN2F at its relaxed geometry, computed with GGA-PBE.

Calculated values
E = -3.018 eV per atom
uncorrected formation energy = 1.73 eV per atom
crystal system = tetragonal
excess energy over the best structure of this formula in the dataset = 1487.7 meV/atom
magnetic moment = 3.99 μB per cell

Lattice parameters (Å, degrees): 5.675 5.675 4.780 90.00 90.00 90.00
Space group P4/mmm (No. 123)
One atom of each set of equivalent atoms:
K1 0.000 0.000 0.000 [1 per cell]
S1 0.500 0.500 0.500 [1 per cell]
N1 0.000 0.500 0.000 [2 per cell]
F1 0.000 0.000 0.500 [1 per cell]



No. 11
Crystalline PrGd3Pt at its relaxed geometry, computed with GGA-PBE.

Calculated values
E = -10.973 eV per atom
ΔH_f (0 K) = -1.80 eV/f.u.
crystal system = cubic
magnetic moment = 22.54 μB per cell

Lattice parameters (Å, degrees): 5.551 5.551 5.551 90.00 90.00 90.00
Space group Pm-3m (No. 221)
One atom of each set of equivalent atoms:
Pr1 0.000 0.000 0.000 [1 per cell]
Gd1 0.000 0.500 0.500 [3 per cell]
Pt1 0.500 0.500 0.500 [1 per cell]



No. 12
Crystalline NbTcIr2I at its relaxed geometry, computed with GGA-PBE.

Calculated values
E = -6.233 eV per atom
uncorrected formation energy = 1.71 eV per atom
crystal system = tetragonal
magnetic moment = 2.65 μB per cell

Lattice parameters (Å, degrees): 4.877 4.877 4.856 90.00 90.00 90.00
Space group P4/mmm (No. 123)
One atom of each set of equivalent atoms:
Nb1 0.000 0.000 0.000 [1 per cell]
Tc1 0.000 0.000 0.500 [1 per cell]
Ir1 0.000 0.500 0.000 [2 per cell]
I1 0.500 0.500 0.500 [1 per cell]



No. 13
Crystalline PaCuNiPb at its relaxed geometry, computed with GGA-PBE.

Calculated values
E = -5.846 eV per atom
ΔH_f (0 K) = -0.30 eV/f.u.
crystal system = cubic
magnetic moment = 0.00 μB per cell

Lattice parameters (Å, degrees): 6.701 6.701 6.701 90.00 90.00 90.00
Space group F-43m (No. 216)
One atom of each set of equivalent atoms:
Pa1 0.000 0.000 0.000 [4 per cell]
Cu1 0.250 0.250 0.750 [4 per cell]
Ni1 0.250 0.250 0.250 [4 per cell]
Pb1 0.000 0.000 0.500 [4 per cell]



No. 14
Crystalline NaBi2Pt at its relaxed geometry, computed with GGA-PBE.

Calculated values
E = -4.082 eV per atom
ΔH_f (0 K) = -1.21 eV/f.u.
crystal system = trigonal
excess energy over the best structure of this formula in the dataset = 15.0 meV/atom
magnetic moment = 0.00 μB per cell

Lattice parameters (Å, degrees): 4.3842 4.3842 20.6982 90.00 90.00 120.00
Space group R3m (No. 160, hexagonal axes)
One atom of each set of equivalent atoms:
Na1 0.0000 0.0000 0.0000 [3 per cell]
Bi1 0.0000 0.0000 0.5583 [3 per cell]
Bi2 0.0000 0.0000 0.7713 [3 per cell]
Pt1 0.0000 0.0000 0.1640 [3 per cell]



No. 15
Crystalline BaNa4Sb2 at its relaxed geometry, computed with GGA-PBE.

Calculated values
E = -2.794 eV per atom
uncorrected formation energy = -0.59 eV per atom
crystal system = tetragonal
magnetic moment = 0.00 μB per cell

Lattice parameters (Å, degrees): 9.298 9.298 5.226 90.00 90.00 90.00
Space group P4_2/mnm (No. 136)
One atom of each set of equivalent atoms:
Ba1 0.000 0.000 0.000 [2 per cell]
Na1 0.099 0.337 0.500 [8 per cell]
Sb1 0.213 0.787 0.500 [4 per cell]



No. 16
Crystalline BiSbCl2 at its relaxed geometry, computed with GGA-PBE.

Calculated values
E = -3.004 eV per atom
uncorrected formation energy = -0.08 eV per atom
crystal system = tetragonal
excess energy over the best structure of this formula in the dataset = 408.7 meV/atom
magnetic moment = 7.70 μB per cell

Lattice parameters (Å, degrees): 9.693 9.693 6.192 90.00 90.00 90.00
Space group I-42d (No. 122)
One atom of each set of equivalent atoms:
Bi1 0.000 0.000 0.000 [4 per cell]
Sb1 0.000 0.000 0.500 [4 per cell]
Cl1 0.128 0.250 0.125 [8 per cell]



No. 17
Crystalline AgPtPb2 at its relaxed geometry, computed with GGA-PBE.

Calculated values
E = -4.057 eV per atom
ΔH_f (0 K) = 0.08 eV/f.u.
crystal system = monoclinic
excess energy over the best structure of this formula in the dataset = 56.2 meV/atom
magnetic moment = 0.00 μB per cell

Lattice parameters (Å, degrees): 9.245 3.672 5.884 90.00 103.06 90.00
Space group Cm (No. 8)
One atom of each set of equivalent atoms:
Ag1 0.000 0.000 0.000 [2 per cell]
Pt1 0.265 0.000 0.817 [2 per cell]
Pb1 0.033 0.500 0.603 [2 per cell]
Pb2 0.251 0.500 0.208 [2 per cell]



No. 18
Crystalline LiNbC2F at its relaxed geometry, computed with GGA-PBE.

Calculated values
E = -4.644 eV per atom
uncorrected formation energy = 1.82 eV per atom
crystal system = tetragonal
magnetic moment = 0.17 μB per cell

Lattice parameters (Å, degrees): 4.219 4.219 3.794 90.00 90.00 90.00
Space group P4/mmm (No. 123)
One atom of each set of equivalent atoms:
Li1 0.000 0.000 0.000 [1 per cell]
Nb1 0.500 0.500 0.000 [1 per cell]
C1 0.000 0.500 0.500 [2 per cell]
F1 0.500 0.500 0.500 [1 per cell]



No. 19
Crystalline Th8OsRu2 at its relaxed geometry, computed with GGA-PBE.

Calculated values
E = -8.251 eV per atom
ΔH_f (0 K) = -1.62 eV/f.u.
crystal system = monoclinic
magnetic moment = 0.00 μB per cell

Lattice parameters (Å, degrees): 8.025 13.485 6.323 90.00 113.77 90.00
Space group Cm (No. 8)
One atom of each set of equivalent atoms:
Th1 0.000 0.000 0.000 [2 per cell]
Th2 0.087 0.369 0.793 [4 per cell]
Th3 0.121 0.126 0.556 [4 per cell]
Th4 0.197 0.500 0.359 [2 per cell]
Th5 0.335 0.202 0.174 [4 per cell]
Os1 0.356 0.000 0.401 [2 per cell]
Ru1 0.360 0.304 0.671 [4 per cell]



No. 20
Crystalline La2ZrCr at its relaxed geometry, computed with GGA-PBE.

Calculated values
E = -6.486 eV per atom
ΔH_f (0 K) = 2.08 eV/f.u.
crystal system = monoclinic
excess energy over the best structure of this formula in the dataset = 233.8 meV/atom
magnetic moment = 6.51 μB per cell

Lattice parameters (Å, degrees): 6.544 10.441 3.350 90.00 110.65 90.00
Space group C2/m (No. 12)
One atom of each set of equivalent atoms:
La1 0.250 0.250 0.000 [4 per cell]
Zr1 0.000 0.000 0.500 [2 per cell]
Cr1 0.000 0.500 0.500 [2 per cell]